No. 1
A plane-wave DFT calculation with GGA-PBE was carried out for Nb6GaSn after structural relaxation.

Cell: 4.7818 5.7902 5.7902 Å, 114.06 90.00 90.00°
With the nearest neighbours (Å) after each atom.
Fractional coordinates of all 8 atoms:
Nb 0.5000 0.8809 0.1191  8 Nb 2.83-2.96, 2 Sn 3.16
Nb 0.0000 0.6166 0.3834  8 Nb 2.79-3.00
Ga 0.0000 0.0977 0.9023  8 Nb 2.81-2.98
Nb 0.0000 0.1013 0.3891  5 Nb 2.79-3.09, 2 Ga 2.81-2.98, 2 Sn 2.92
Sn 0.5000 0.4046 0.5954  12 Nb 2.85-3.16
Nb 0.5000 0.3817 0.0940  7 Nb 2.83-3.16, 2 Sn 2.85-2.94, 2 Ga 2.86
Nb 0.5000 0.9060 0.6183  7 Nb 2.83-3.16, 2 Sn 2.85-2.94, 2 Ga 2.86
Nb 0.0000 0.6109 0.8987  5 Nb 2.79-3.09, 2 Ga 2.81-2.98, 2 Sn 2.92

Properties
Space group: Amm2 (38)
Electronic total energy (eV per formula unit): -68.88
Energy relative to the elements (eV/f.u.): -1.4
Magnetic moment (μB/atom): 0.000
Energy above the lowest structure with this stoichiometry (eV/f.u.): 0.00

No. 2
A plane-wave DFT calculation with GGA-PBE was carried out for ReNi5 after structural relaxation.

Cell: 2.5791 4.8572 5.9659 Å, 75.31 90.00 105.40°
With the nearest neighbours (Å) after each atom.
Fractional coordinates of all 6 atoms:
Ni 0.3891 0.7783 0.7219  10 Ni 2.50-2.58, 2 Re 2.56
Ni 0.9991 0.9983 0.9938  9 Ni 2.50-2.58, 3 Re 2.54-2.55
Ni 0.3343 0.6686 0.3335  10 Ni 2.50-2.58, 2 Re 2.54
Re 0.7196 0.4393 0.0583  10 Ni 2.51-2.56, 2 Re 2.58
Ni 0.6703 0.3406 0.6645  1 Re 2.51, 11 Ni 2.52-2.58
Ni 0.0542 0.1084 0.3947  10 Ni 2.51-2.58, 2 Re 2.54

Properties
Space group: Cm (8)
Electronic total energy (eV per formula unit): -41.15
Energy relative to the elements (eV/f.u.): 0.2
Magnetic moment (μB/atom): 0.000
Energy above the lowest structure with this stoichiometry (eV/f.u.): 0.23

No. 3
A plane-wave DFT calculation with GGA-PBE was carried out for CaSmFe4 after structural relaxation.

Cell: 5.1921 5.1921 5.1921 Å, 60.00 60.00 60.00°
With the nearest neighbours (Å) after each atom.
Fractional coordinates of all 6 atoms:
Fe 0.6247 0.1258 0.6247  6 Fe 2.59-2.60
Sm 0.2500 0.2500 0.2500  12 Fe 3.04, 4 Ca 3.18
Ca 0.0000 0.0000 0.0000  12 Fe 3.04, 4 Sm 3.18
Fe 0.6247 0.6247 0.6247  6 Fe 2.59-2.60
Fe 0.1258 0.6247 0.6247  6 Fe 2.59-2.60
Fe 0.6247 0.6247 0.1258  6 Fe 2.59-2.60

Properties
Space group: F-43m (216)
Electronic total energy (eV per formula unit): -39.67
Energy relative to the elements (eV/f.u.): 0.9
Magnetic moment (μB/atom): 1.317

No. 4
A plane-wave DFT calculation with GGA-PBE was carried out for NaCaNb3 after structural relaxation.

Cell: 4.9601 4.9601 4.9601 Å, 90.00 90.00 90.00°
With the nearest neighbours (Å) after each atom.
Fractional coordinates of all 5 atoms:
Ca 0.0000 0.0000 0.0000  6 Nb 2.48
Nb 0.0000 0.5000 0.0000  2 Ca 2.48
Nb 0.5000 0.0000 0.0000  2 Ca 2.48
Na 0.5000 0.5000 0.5000  12 Nb 3.51
Nb 0.0000 0.0000 0.5000  2 Ca 2.48

Properties
Space group: Pm-3m (221)
Electronic total energy (eV per formula unit): -21.99
Energy relative to the elements (eV/f.u.): 11.5
Magnetic moment (μB/atom): 0.276
Energy above the lowest structure with this stoichiometry (eV/f.u.): 1.95

No. 5
A plane-wave DFT calculation with GGA-PBE was carried out for NaLiCeIn after structural relaxation.

Cell: 5.3298 5.3298 5.3298 Å, 60.00 60.00 60.00°
With the nearest neighbours (Å) after each atom.
Fractional coordinates of all 4 atoms:
In 0.5000 0.5000 0.5000  4 Na 3.26, 4 Ce 3.26
Na 0.7500 0.7500 0.7500  4 In 3.26, 4 Li 3.26
Li 0.0000 0.0000 0.0000  4 Ce 3.26, 4 Na 3.26
Ce 0.2500 0.2500 0.2500  4 Li 3.26, 4 In 3.26

Properties
Space group: F-43m (216)
Electronic total energy (eV per formula unit): -11.94
Energy relative to the elements (eV/f.u.): 0.0
Magnetic moment (μB/atom): 0.229

No. 6
A plane-wave DFT calculation with GGA-PBE was carried out for Sb2AuSe after structural relaxation.

Cell: 5.1734 5.1734 3.4421 Å, 90.00 90.00 90.45°
With the nearest neighbours (Å) after each atom.
Fractional coordinates of all 4 atoms:
Sb 0.5000 0.5000 0.0000  4 Au 3.11, 4 Se 3.11, 2 Sb 3.44
Au 0.0000 0.5000 0.5000  8 Sb 3.11, 2 Au 3.44
Se 0.5000 0.0000 0.5000  8 Sb 3.11, 2 Se 3.44
Sb 0.0000 0.0000 0.0000  4 Se 3.11, 4 Au 3.11, 2 Sb 3.44

Properties
Space group: Cmmm (65)
E_form (uncorrected) (eV/atom): 0.185
Electronic total energy (eV per formula unit): -14.27
Magnetic moment (μB/atom): 0.000

No. 7
A plane-wave DFT calculation with GGA-PBE was carried out for LiTaRu2 after structural relaxation.

Cell: 3.2228 3.2228 5.5860 Å, 90.00 90.00 90.00°
With the nearest neighbours (Å) after each atom.
Fractional coordinates of all 4 atoms:
Li 0.5000 0.5000 0.7751  5 Ru 2.48-2.75, 4 Ta 2.73
Ru 0.5000 0.5000 0.2668  4 Ta 2.65, 2 Li 2.75-2.84, 4 Ru 2.88
Ru 0.0000 0.0000 0.9510  1 Ta 2.48, 4 Li 2.48
Ta 0.0000 0.0000 0.5072  5 Ru 2.48-2.65, 4 Li 2.73

Properties
Space group: P4mm (99)
Electronic total energy (eV per formula unit): -31.66
Energy relative to the elements (eV/f.u.): 0.7
Magnetic moment (μB/atom): 0.000
Energy above the lowest structure with this stoichiometry (eV/f.u.): 1.46

No. 8
A plane-wave DFT calculation with GGA-PBE was carried out for SrHo2Tl after structural relaxation.

Cell: 4.9956 5.0040 5.0040 Å, 90.00 90.00 90.00°
With the nearest neighbours (Å) after each atom.
Fractional coordinates of all 4 atoms:
Tl 0.5000 0.5000 0.5000  8 Ho 3.54, 4 Sr 3.54
Ho 0.0000 0.0000 0.5000  4 Sr 3.54, 4 Tl 3.54, 4 Ho 3.54
Ho 0.0000 0.5000 0.0000  4 Tl 3.54, 4 Sr 3.54, 4 Ho 3.54
Sr 0.5000 0.0000 0.0000  8 Ho 3.54, 4 Tl 3.54

Properties
Space group: P4/mmm (123)
Electronic total energy (eV per formula unit): -13.34
Energy relative to the elements (eV/f.u.): -0.1
Magnetic moment (μB/atom): 0.066
Energy above the lowest structure with this stoichiometry (eV/f.u.): 0.03